[1]
VASP calculation (PBE) on an optimized crystal structure of AgCF6.

a = 4.837 Å, b = 4.837 Å, c = 5.254 Å
α = 62.59°, β = 62.59°, γ = 60.00°
Fractional positions:
F1 0.370 0.916 0.797
F2 0.916 0.916 0.797
Ag1 0.500 0.500 0.500
F3 0.084 0.630 0.203
F4 0.630 0.084 0.203
C1 0.000 0.000 0.000
F5 0.916 0.370 0.797
F6 0.084 0.084 0.203

Calculated values
Calculated volume ... 11.271 A^3/atom
Density of states at the Fermi level ... 8.899 states/eV/cell
ΔE_f (raw) ... -0.775 eV/atom
Total magnetic moment ... 1.07 Bohr magnetons per cell
Space group ... No. 166

---

[2]
VASP calculation (PBE) on an optimized crystal structure of AgC3F.

a = 4.189 Å, b = 4.189 Å, c = 4.189 Å
α = 90.00°, β = 90.00°, γ = 90.00°
Fractional positions:
C1 0.000 0.500 0.000
F1 0.500 0.500 0.500
C2 0.000 0.000 0.500
C3 0.500 0.000 0.000
Ag1 0.000 0.000 0.000

Calculated values
Calculated volume ... 14.702 A^3/atom
Density of states at the Fermi level ... 5.051 states/eV/cell
Energy above the lowest structure with this stoichiometry ... 111 meV/atom
ΔE_f (raw) ... 3.274 eV/atom
Total magnetic moment ... 3.09 Bohr magnetons per cell
Space group ... No. 221

---

[3]
VASP calculation (PBE) on an optimized crystal structure of AgC3F.

a = 3.827 Å, b = 3.827 Å, c = 3.827 Å
α = 90.00°, β = 90.00°, γ = 90.00°
Fractional positions:
Ag1 0.500 0.500 0.500
C1 0.000 0.000 0.500
F1 0.000 0.000 0.000
C2 0.000 0.500 0.000
C3 0.500 0.000 0.000

Calculated values
Calculated volume ... 11.209 A^3/atom
Density of states at the Fermi level ... 0.531 states/eV/cell
Energy above the lowest structure with this stoichiometry ... 0 meV/atom
ΔE_f (raw) ... 3.163 eV/atom
Total magnetic moment ... 0.00 Bohr magnetons per cell
Space group ... No. 221

---

[4]
VASP calculation (PBE) on an optimized crystal structure of AgCF4.

a = 4.251 Å, b = 4.177 Å, c = 11.090 Å
α = 90.06°, β = 99.68°, γ = 89.94°
Fractional positions:
F1 0.071 0.548 0.252
C1 0.265 0.668 0.350
F2 0.565 0.577 0.346
Ag1 0.257 0.506 0.997
F3 0.246 0.988 0.346
C2 0.735 0.170 0.650
F4 0.929 0.050 0.748
Ag2 0.743 0.005 0.003
F5 0.181 0.563 0.454
F6 0.819 0.064 0.546
F7 0.754 0.490 0.654
F8 0.435 0.079 0.654

Calculated values
Calculated volume ... 16.176 A^3/atom
Density of states at the Fermi level ... 1.224 states/eV/cell
ΔE_f (raw) ... -1.339 eV/atom
Total magnetic moment ... 0.00 Bohr magnetons per cell
Space group ... No. 1

---

[5]
VASP calculation (PBE) on an optimized crystal structure of AgC2F.

a = 4.458 Å, b = 4.458 Å, c = 6.443 Å
α = 69.76°, β = 69.76°, γ = 90.00°
Fractional positions:
F1 0.500 0.500 0.000
Ag1 0.000 0.000 0.000
Ag2 0.750 0.250 0.500
C1 0.875 0.887 0.750
C2 0.637 0.125 0.250
C3 0.375 0.363 0.750
C4 0.113 0.625 0.250
F2 0.250 0.750 0.500

Calculated values
Calculated volume ... 13.957 A^3/atom
Density of states at the Fermi level ... 3.315 states/eV/cell
Energy above the lowest structure with this stoichiometry ... 0 meV/atom
ΔE_f (raw) ... 2.287 eV/atom
Total magnetic moment ... 0.00 Bohr magnetons per cell
Space group ... No. 122

---

[6]
VASP calculation (PBE) on an optimized crystal structure of Ag3CF.

a = 4.282 Å, b = 4.282 Å, c = 4.282 Å
α = 90.00°, β = 90.00°, γ = 90.00°
Fractional positions:
Ag1 0.500 0.000 0.000
Ag2 0.000 0.000 0.500
Ag3 0.000 0.500 0.000
F1 0.500 0.500 0.500
C1 0.000 0.000 0.000

Calculated values
Calculated volume ... 15.704 A^3/atom
Density of states at the Fermi level ... 4.955 states/eV/cell
Energy above the lowest structure with this stoichiometry ... 0 meV/atom
ΔE_f (raw) ... 0.467 eV/atom
Total magnetic moment ... 0.00 Bohr magnetons per cell
Space group ... No. 221

---

[7]
VASP calculation (PBE) on an optimized crystal structure of AgCF3.

a = 3.874 Å, b = 3.874 Å, c = 3.874 Å
α = 90.00°, β = 90.00°, γ = 90.00°
Fractional positions:
Ag1 0.500 0.500 0.500
C1 0.000 0.000 0.000
F1 0.500 0.000 0.000
F2 0.000 0.000 0.500
F3 0.000 0.500 0.000

Calculated values
Calculated volume ... 11.629 A^3/atom
Density of states at the Fermi level ... 0.000 states/eV/cell
Energy above the lowest structure with this stoichiometry ... 0 meV/atom
ΔE_f (raw) ... -0.061 eV/atom
Total magnetic moment ... 0.00 Bohr magnetons per cell
Space group ... No. 221

---

[8]
VASP calculation (PBE) on an optimized crystal structure of AgC2F.

a = 3.900 Å, b = 3.900 Å, c = 3.900 Å
α = 60.00°, β = 60.00°, γ = 60.00°
Fractional positions:
C1 0.250 0.250 0.250
Ag1 0.500 0.500 0.500
C2 0.750 0.750 0.750
F1 0.000 0.000 0.000

Calculated values
Calculated volume ... 10.488 A^3/atom
Density of states at the Fermi level ... 2.598 states/eV/cell
Energy above the lowest structure with this stoichiometry ... 84 meV/atom
ΔE_f (raw) ... 2.372 eV/atom
Total magnetic moment ... 0.00 Bohr magnetons per cell
Space group ... No. 225